Record 1
Material: MnCr2Co
Method: DFT, PBE
State: relaxed

Output
Size of the total moment ... 1.07 μB per formula unit
Electronic total energy ... -8.7576 eV/atom

Geometry as extended XYZ:
```
4
Lattice="-0.234 1.940 -1.545 2.184 -1.581 -2.316 -3.959 -2.235 -2.208" Properties=species:S:1:pos:R:3 pbc="T T T"
Cr -3.949 -2.229 -2.202
Cr -1.989 -1.123 -1.109
Mn -0.014 -0.379 -2.482
Co -1.994 -1.497 -3.586
```



Record 2
Material: MnCr2Co
Method: DFT, PBE
State: relaxed

Output
Size of the total moment ... 0.77 μB per formula unit
Electronic total energy ... -8.7712 eV/atom

Geometry as extended XYZ:
```
4
Lattice="2.445 -0.023 0.000 -0.728 2.335 0.000 0.000 0.000 7.906" Properties=species:S:1:pos:R:3 pbc="T T T"
Mn 0.859 1.156 1.977
Cr 0.000 0.000 0.010
Cr 0.000 0.000 3.943
Co 0.859 1.156 5.930
```



Record 3
Material: Mn2Cr3Co8
Method: DFT, PBE
State: relaxed

Output
Size of the total moment ... 15.26 μB per formula unit
Electronic total energy ... -7.6937 eV/atom

Geometry as extended XYZ:
```
13
Lattice="4.563 0.000 0.000 2.281 3.951 0.000 2.281 1.317 8.846" Properties=species:S:1:pos:R:3 pbc="T T T"
Cr 2.281 1.317 4.012
Cr 0.000 0.000 0.000
Cr 6.844 3.951 4.834
Co 4.563 3.947 6.072
Co 3.426 3.291 2.774
Co 6.844 3.951 7.205
Co 3.426 1.978 6.072
Co 2.281 1.317 1.641
Co 4.563 1.321 2.774
Co 5.700 1.978 6.072
Co 5.700 3.291 2.774
Mn 4.563 2.634 0.676
Mn 4.563 2.634 8.170
```



Record 4
Material: MnCr2Co5
Method: DFT, PBE
State: relaxed

Output
Size of the total moment ... 2.92 μB per formula unit
Electronic total energy ... -7.9363 eV/atom

Geometry as extended XYZ:
```
8
Lattice="-1.911 2.218 1.921 -2.698 -2.230 -0.109 4.626 -3.090 4.978" Properties=species:S:1:pos:R:3 pbc="T T T"
Cr -1.142 -1.556 3.852
Cr 1.159 -1.546 2.938
Co 0.780 -1.206 5.361
Co 0.387 -3.430 4.346
Co -2.304 -0.006 0.906
Co -0.764 -1.896 1.429
Co -0.370 0.328 2.444
Mn 0.000 0.000 0.000
```



Record 5
Material: MnCr3Co
Method: DFT, PBE
State: relaxed

Output
Size of the total moment ... 0.00 μB per formula unit
Electronic total energy ... -7.5519 eV/atom

Geometry as extended XYZ:
```
5
Lattice="-3.277 0.801 2.384 1.959 -1.643 3.244 1.578 3.704 0.923" Properties=species:S:1:pos:R:3 pbc="T T T"
Cr -1.638 0.401 1.192
Cr 0.979 -0.821 1.622
Cr 0.789 1.852 0.462
Co 0.000 0.000 0.000
Mn 0.130 1.431 3.276
```



Record 6
Material: MnCrCo6
Method: DFT, PBE
State: relaxed

Output
Size of the total moment ... 0.73 μB per formula unit
Electronic total energy ... -7.6503 eV/atom

Geometry as extended XYZ:
```
32
Lattice="6.099 0.005 0.000 -2.031 5.751 0.000 0.000 0.000 9.944" Properties=species:S:1:pos:R:3 pbc="T T T"
Co 4.071 1.438 4.964
Co 2.029 0.719 8.707
Co -0.007 2.156 1.251
Co 2.034 2.878 2.486
Co -0.003 4.318 4.964
Co 4.075 3.600 3.721
Co 2.039 5.037 8.707
Co -0.003 4.318 0.008
Co 4.067 3.604 8.707
Co 0.001 2.153 6.209
Co 2.034 5.043 1.251
Co 4.071 1.438 0.008
Co 4.075 3.600 1.251
Co 4.067 3.604 6.209
Co 2.035 0.713 3.721
Co 0.001 2.153 8.707
Co 2.039 5.037 6.209
Co 2.034 2.878 7.458
Co 2.034 5.043 3.721
Co -0.007 2.156 3.721
Co 2.035 0.713 1.251
Co 0.000 0.000 7.458
Co 2.029 0.719 6.209
Co 0.000 0.000 2.486
Cr 4.072 1.438 2.486
Cr 0.000 0.000 9.932
Cr 0.000 0.000 4.984
Cr -0.004 4.318 2.486
Mn 4.072 1.438 7.458
Mn -0.003 4.318 7.458
Mn 2.034 2.878 4.977
Mn 2.034 2.878 9.939
```



Record 7
Material: Mn2CrCo
Method: DFT, PBE
State: relaxed

Output
Size of the total moment ... 4.68 μB per formula unit
Electronic total energy ... -8.6968 eV/atom

Geometry as extended XYZ:
```
4
Lattice="-2.130 2.065 -2.745 -1.740 -1.943 -3.087 -4.021 -0.379 -0.141" Properties=species:S:1:pos:R:3 pbc="T T T"
Cr -5.918 -0.193 -4.480
Mn -1.973 -0.064 -1.493
Mn 0.000 0.000 0.000
Co -3.945 -0.129 -2.986
```



Record 8
Material: Mn2CrCo
Method: DFT, PBE
State: relaxed

Output
Size of the total moment ... 0.48 μB per formula unit
Electronic total energy ... -8.7188 eV/atom

Geometry as extended XYZ:
```
4
Lattice="-1.544 3.283 2.403 -1.368 -1.473 3.859 3.727 -0.531 -2.183" Properties=species:S:1:pos:R:3 pbc="T T T"
Co -1.456 0.905 3.131
Mn 0.451 -0.550 2.404
Mn 0.000 0.000 0.000
Cr 0.363 1.828 1.675
```



Record 9
Material: Mn2CrCo
Method: DFT, PBE
State: relaxed

Output
Size of the total moment ... 4.69 μB per formula unit
Electronic total energy ... -8.6772 eV/atom

Geometry as extended XYZ:
```
4
Lattice="2.897 0.000 0.000 0.000 4.070 0.000 0.000 0.000 3.941" Properties=species:S:1:pos:R:3 pbc="T T T"
Cr 0.000 2.035 1.971
Co 1.449 0.000 1.971
Mn 0.000 0.000 0.000
Mn 1.449 2.035 0.000
```



Record 10
Material: MnCrCo4
Method: DFT, PBE
State: relaxed

Output
Size of the total moment ... 1.33 μB per formula unit
Electronic total energy ... -7.3154 eV/atom

Geometry as extended XYZ:
```
6
Lattice="3.767 0.000 0.000 1.883 3.258 0.189 1.883 0.735 6.105" Properties=species:S:1:pos:R:3 pbc="T T T"
Co 1.883 0.867 3.827
Co 5.650 3.126 2.467
Co 3.767 1.865 5.426
Co 3.767 2.128 0.868
Mn 0.000 0.000 0.000
Cr 3.767 1.997 3.147
```



Record 11
Material: MnCr2Co
Method: DFT, PBE
State: relaxed

Output
Size of the total moment ... 2.97 μB per formula unit
Electronic total energy ... -8.7641 eV/atom

Geometry as extended XYZ:
```
4
Lattice="4.769 0.001 0.003 -2.117 4.156 -0.003 0.535 0.689 2.290" Properties=species:S:1:pos:R:3 pbc="T T T"
Mn -0.791 2.423 1.143
Cr 2.652 0.345 1.146
Cr 0.000 0.000 0.000
Co 1.326 2.079 0.000
```



Record 12
Material: Mn2CrCo
Method: DFT, PBE
State: relaxed

Output
Size of the total moment ... 1.46 μB per formula unit
Electronic total energy ... -8.1353 eV/atom

Geometry as extended XYZ:
```
8
Lattice="-1.232 -3.145 0.972 2.576 -1.567 -1.806 5.384 -2.173 6.145" Properties=species:S:1:pos:R:3 pbc="T T T"
Mn 5.229 -5.762 3.869
Mn 2.809 -1.898 0.524
Mn 0.892 -2.722 1.923
Mn 4.528 -3.388 4.306
Co 0.000 0.000 0.000
Co 2.412 -3.837 3.350
Cr 4.316 -3.048 1.961
Cr 0.672 -2.356 -0.417
```



Record 13
Material: Mn2CrCo
Method: DFT, PBE
State: relaxed

Output
Size of the total moment ... 1.23 μB per formula unit
Electronic total energy ... -8.6853 eV/atom

Geometry as extended XYZ:
```
4
Lattice="4.306 -0.088 0.000 1.377 4.081 0.000 -2.841 -1.997 2.547" Properties=species:S:1:pos:R:3 pbc="T T T"
Mn 0.000 0.000 0.000
Mn 2.841 1.997 0.000
Cr 2.153 -0.044 1.274
Co 0.688 2.040 1.274
```



Number 1: ΔH_f (0 K) 123 meV per atom. Number 2: ΔH_f (0 K) 109 meV per atom. Number 3: ΔH_f (0 K) 311 meV per atom. Number 4: ΔH_f (0 K) 57 meV per atom. Number 5: ΔH_f (0 K) 1477 meV per atom. Number 6: ΔH_f (0 K) 28 meV per atom. Number 7: ΔH_f (0 K) 70 meV per atom. Number 8: ΔH_f (0 K) 48 meV per atom. Number 9: ΔH_f (0 K) 90 meV per atom. Number 10: ΔH_f (0 K) 554 meV per atom. Number 11: ΔH_f (0 K) 116 meV per atom. Number 12: ΔH_f (0 K) 632 meV per atom. Number 13: ΔH_f (0 K) 82 meV per atom.